Density functional theory data (PBE) for Mn13Fe2 after structural relaxation.

The structure belongs to space group P-1 (No. 2); the cell edges are 4.7527, 6.2418 and 6.5903 Å and the angles 65.60°, 85.97° and 73.71°. The distinct sites, in fractional coordinates, are Mn at (0.0000, 0.0000, 0.0000), Mn at (0.0272, 0.6836, 0.8327), Mn at (0.1726, 0.1436, 0.5628), Mn at (0.2781, 0.4995, 0.5882), Mn at (0.3248, 0.9052, 0.3457), Mn at (0.3656, 0.2106, 0.9304), Mn at (0.4667, 0.7194, 0.8072) and Fe at (0.1913, 0.5948, 0.2274).

The calculation puts the energy of formation at 3.128 eV per formula unit. The calculation puts the magnetic moment at 2.188 μB per cell. The value obtained for the polymorph energy (0 for the lowest one) is 0.127 eV/atom. The uncorrected energy is -8.867 eV per atom.